1.
# BeSiHg2As

A relaxed structure of BeSiHg2As (GGA-PBE, the Alexandria database).

Cell and atoms, written as CIF:
```
data_BeSiHg2As
_symmetry_space_group_name_H-M 'P 4/m m m'
_symmetry_Int_Tables_number 123
_symmetry_space_group_name_Hall '-P 4 2'
_cell_length_a 5.483
_cell_length_b 5.483
_cell_length_c 3.983
_cell_angle_alpha 90.00
_cell_angle_beta 90.00
_cell_angle_gamma 90.00
loop_
_atom_site_label
_atom_site_fract_x
_atom_site_fract_y
_atom_site_fract_z
Be1 0.000 0.000 0.000
Si1 0.500 0.500 0.000
Hg1 0.000 0.500 0.500
As1 0.000 0.000 0.500
```

E_form (uncorrected) ... 0.77 eV per atom

=====

2.
# BeTlHgAs

A relaxed structure of BeTlHgAs (GGA-PBE, the Alexandria database).

Cell and atoms, written as CIF:
```
data_BeTlHgAs
_symmetry_space_group_name_H-M 'P 4/n m m'
_symmetry_Int_Tables_number 129
_cell_length_a 3.994
_cell_length_b 3.994
_cell_length_c 12.301
_cell_angle_alpha 90.00
_cell_angle_beta 90.00
_cell_angle_gamma 90.00
loop_
_symmetry_equiv_pos_as_xyz
'x,y,z'
'-x,-y,-z'
'-y+1/2,x,z'
'y+1/2,-x,-z'
'-x+1/2,-y+1/2,z'
'x+1/2,y+1/2,-z'
'y,-x+1/2,z'
'-y,x+1/2,-z'
'x+1/2,-y,-z'
'-x+1/2,y,z'
'-y,-x,-z'
'y,x,z'
'-x,y+1/2,-z'
'x,-y+1/2,z'
'y+1/2,x+1/2,-z'
'-y+1/2,-x+1/2,z'
loop_
_atom_site_label
_atom_site_fract_x
_atom_site_fract_y
_atom_site_fract_z
Be1 0.250 0.750 0.000
Tl1 0.250 0.250 0.238
Hg1 0.250 0.750 0.500
As1 0.250 0.250 0.894
```

Formation energy from the elements ... 0.005 eV/atom

=====

3.
# BeTl2HgAs

A relaxed structure of BeTl2HgAs (GGA-PBE, the Alexandria database).

Cell and atoms, written as CIF:
```
data_BeTl2HgAs
_symmetry_space_group_name_H-M 'P 4/m m m'
_symmetry_Int_Tables_number 123
_symmetry_space_group_name_Hall '-P 4 2'
_cell_length_a 5.772
_cell_length_b 5.772
_cell_length_c 5.226
_cell_angle_alpha 90.00
_cell_angle_beta 90.00
_cell_angle_gamma 90.00
loop_
_atom_site_label
_atom_site_fract_x
_atom_site_fract_y
_atom_site_fract_z
Be1 0.000 0.000 0.000
Tl1 0.000 0.500 0.500
Hg1 0.500 0.500 0.000
As1 0.500 0.500 0.500
```

Formation energy from the elements ... 0.828 eV/atom

=====

Number 1: D(E_F) 0.516 states/eV per atom, M_tot 0.0 μB per cell, volume 23.95 Å³/atom. Number 2: D(E_F) 0.241 states/eV per atom, M_tot 0.0 μB per cell, volume 24.52 Å³/atom. Number 3: D(E_F) 0.646 states/eV per atom, M_tot 0.0 μB per cell, volume 34.82 Å³/atom.